[1]
! PBE Sr2TePb2, relaxed; values from VASP
! - ΔE_f (raw): -0.60 eV/atom
! - Volume: 35.70 Å³/atom
&SYSTEM
  ibrav = 0, nat = 10, ntyp = 3
/
ATOMIC_SPECIES
Sr 87.62 Sr.upf
Te 127.60 Te.upf
Pb 207.20 Pb.upf
CELL_PARAMETERS angstrom
8.611 0.000 0.000
0.000 8.611 0.000
0.000 0.000 4.815
ATOMIC_POSITIONS crystal
Sr 0.175 0.325 0.000
Sr 0.325 0.825 0.000
Sr 0.675 0.175 0.000
Sr 0.825 0.675 0.000
Te 0.000 0.000 0.500
Te 0.500 0.500 0.500
Pb 0.128 0.628 0.500
Pb 0.372 0.128 0.500
Pb 0.628 0.872 0.500
Pb 0.872 0.372 0.500



[2]
! PBE Ba4BiSeCl2, relaxed; values from VASP
! - ΔE_f (raw): -1.72 eV/atom
! - Volume: 38.51 Å³/atom
&SYSTEM
  ibrav = 0, nat = 8, ntyp = 4
/
ATOMIC_SPECIES
Ba 137.33 Ba.upf
Bi 208.98 Bi.upf
Se 78.96 Se.upf
Cl 35.45 Cl.upf
CELL_PARAMETERS angstrom
8.090 0.000 0.000
0.000 4.858 0.000
-2.913 0.000 7.838
ATOMIC_POSITIONS crystal
Ba 0.243 0.000 0.241
Ba 0.249 0.500 0.757
Ba 0.751 0.500 0.243
Ba 0.757 0.000 0.759
Bi 0.000 0.000 0.500
Se 0.000 0.500 0.000
Cl 0.500 0.000 0.000
Cl 0.500 0.500 0.500



[3]
! PBE CaGa2CuAu, relaxed; values from VASP
! - Electronic total energy: -3.50 eV per atom
! - Volume: 19.73 Å³/atom
&SYSTEM
  ibrav = 0, nat = 5, ntyp = 4
/
ATOMIC_SPECIES
Ca 40.08 Ca.upf
Ga 69.72 Ga.upf
Cu 63.55 Cu.upf
Au 196.97 Au.upf
CELL_PARAMETERS angstrom
-2.182 2.182 5.179
2.182 -2.182 5.179
2.182 2.182 -5.179
ATOMIC_POSITIONS crystal
Ca 0.000 0.000 0.000
Ga 0.378 0.378 0.000
Ga 0.622 0.622 0.000
Cu 0.250 0.750 0.500
Au 0.750 0.250 0.500



[4]
! PBE ErPuNi10, relaxed; values from VASP
! - Electronic total energy: -6.65 eV per atom
! - Volume: 13.54 Å³/atom
&SYSTEM
  ibrav = 0, nat = 12, ntyp = 3
/
ATOMIC_SPECIES
Er 167.26 Er.upf
Pu 244.00 Pu.upf
Ni 58.69 Ni.upf
CELL_PARAMETERS angstrom
3.956 0.000 0.000
0.000 4.865 0.000
0.000 0.000 8.444
ATOMIC_POSITIONS crystal
Er 0.000 0.000 0.000
Pu 0.000 0.500 0.500
Ni 0.000 0.000 0.333
Ni 0.000 0.000 0.667
Ni 0.000 0.500 0.168
Ni 0.000 0.500 0.832
Ni 0.500 0.000 0.500
Ni 0.500 0.250 0.249
Ni 0.500 0.250 0.751
Ni 0.500 0.500 0.000
Ni 0.500 0.750 0.249
Ni 0.500 0.750 0.751



[5]
! PBE TiFeTe2, relaxed; values from VASP
! - ΔE_f (raw): 0.15 eV/atom
! - Volume: 18.45 Å³/atom
&SYSTEM
  ibrav = 0, nat = 4, ntyp = 3
/
ATOMIC_SPECIES
Ti 47.87 Ti.upf
Fe 55.84 Fe.upf
Te 127.60 Te.upf
CELL_PARAMETERS angstrom
0.000 3.329 3.329
3.329 0.000 3.329
3.329 3.329 0.000
ATOMIC_POSITIONS crystal
Ti 0.000 0.000 0.000
Fe 0.500 0.500 0.500
Te 0.250 0.250 0.250
Te 0.750 0.750 0.750



[6]
! PBE KRbLi, relaxed; values from VASP
! - Electronic total energy: -1.20 eV per atom
! - Volume: 59.34 Å³/atom
&SYSTEM
  ibrav = 0, nat = 3, ntyp = 3
/
ATOMIC_SPECIES
K 39.10 K.upf
Rb 85.47 Rb.upf
Li 6.94 Li.upf
CELL_PARAMETERS angstrom
-2.324 2.324 8.238
2.324 -2.324 8.238
2.324 2.324 -8.238
ATOMIC_POSITIONS crystal
K 0.000 0.000 0.000
Rb 0.721 0.721 0.000
Li 0.372 0.372 0.000



[7]
! PBE ZrAg2Sb, relaxed; values from VASP
! - ΔE_f (raw): -0.04 eV/atom
! - Volume: 21.32 Å³/atom
&SYSTEM
  ibrav = 0, nat = 4, ntyp = 3
/
ATOMIC_SPECIES
Zr 91.22 Zr.upf
Ag 107.87 Ag.upf
Sb 121.76 Sb.upf
CELL_PARAMETERS angstrom
3.815 0.000 0.000
0.000 3.815 0.000
0.000 0.000 5.861
ATOMIC_POSITIONS crystal
Zr 0.000 0.000 0.000
Ag 0.500 0.500 0.243
Ag 0.500 0.500 0.757
Sb 0.000 0.000 0.500



[8]
! PBE ThSc2Cu2Sn2, relaxed; values from VASP
! - Electronic total energy: -5.56 eV per atom
! - Volume: 21.92 Å³/atom
&SYSTEM
  ibrav = 0, nat = 7, ntyp = 4
/
ATOMIC_SPECIES
Th 232.04 Th.upf
Sc 44.96 Sc.upf
Cu 63.55 Cu.upf
Sn 118.71 Sn.upf
CELL_PARAMETERS angstrom
2.288 1.321 8.462
-2.288 1.321 8.462
0.000 -2.642 8.462
ATOMIC_POSITIONS crystal
Th 0.000 0.000 0.000
Sc 0.135 0.135 0.135
Sc 0.865 0.865 0.865
Cu 0.447 0.447 0.447
Cu 0.553 0.553 0.553
Sn 0.258 0.258 0.258
Sn 0.742 0.742 0.742



[9]
! PBE KUCuI6, relaxed; values from VASP
! - ΔE_f (raw): -0.81 eV/atom
! - Volume: 45.50 Å³/atom
&SYSTEM
  ibrav = 0, nat = 9, ntyp = 4
/
ATOMIC_SPECIES
K 39.10 K.upf
U 238.03 U.upf
Cu 63.55 Cu.upf
I 126.90 I.upf
CELL_PARAMETERS angstrom
3.644 -7.062 0.000
3.644 7.062 0.000
-0.986 0.000 7.957
ATOMIC_POSITIONS crystal
K 0.000 0.000 0.000
U 0.705 0.295 0.500
Cu 0.449 0.551 0.500
I 0.002 0.574 0.797
I 0.081 0.384 0.326
I 0.367 0.263 0.689
I 0.426 0.998 0.203
I 0.616 0.919 0.674
I 0.737 0.633 0.311



[10]
! PBE AgHg2Ir, relaxed; values from VASP
! - Electronic total energy: -2.58 eV per atom
! - Volume: 18.65 Å³/atom
&SYSTEM
  ibrav = 0, nat = 4, ntyp = 3
/
ATOMIC_SPECIES
Ag 107.87 Ag.upf
Hg 200.59 Hg.upf
Ir 192.22 Ir.upf
CELL_PARAMETERS angstrom
0.000 3.341 3.341
3.341 0.000 3.341
3.341 3.341 0.000
ATOMIC_POSITIONS crystal
Ag 0.000 0.000 0.000
Hg 0.500 0.500 0.500
Hg 0.750 0.750 0.750
Ir 0.250 0.250 0.250



[11]
! PBE PmNdInPt, relaxed; values from VASP
! - Electronic total energy: -5.23 eV per atom
! - Volume: 26.09 Å³/atom
&SYSTEM
  ibrav = 0, nat = 4, ntyp = 4
/
ATOMIC_SPECIES
Pm 145.00 Pm.upf
Nd 144.24 Nd.upf
In 114.82 In.upf
Pt 195.08 Pt.upf
CELL_PARAMETERS angstrom
0.000 3.737 3.737
3.737 0.000 3.737
3.737 3.737 0.000
ATOMIC_POSITIONS crystal
Pm 0.000 0.000 0.000
Nd 0.500 0.500 0.500
In 0.250 0.250 0.250
Pt 0.750 0.750 0.750



[12]
! PBE PaBeB, relaxed; values from VASP
! - Electronic total energy: -6.77 eV per atom
! - Volume: 13.89 Å³/atom
&SYSTEM
  ibrav = 0, nat = 6, ntyp = 3
/
ATOMIC_SPECIES
Pa 231.04 Pa.upf
Be 9.01 Be.upf
B 10.81 B.upf
CELL_PARAMETERS angstrom
1.633 -7.862 0.000
1.633 7.862 0.000
0.000 0.000 3.246
ATOMIC_POSITIONS crystal
Pa 0.100 0.900 0.750
Pa 0.900 0.100 0.250
Be 0.250 0.750 0.250
Be 0.750 0.250 0.750
B 0.322 0.678 0.750
B 0.678 0.322 0.250



[13]
! PBE ScSn2Rh3, relaxed; values from VASP
! - Electronic total energy: -6.76 eV per atom
! - Volume: 17.01 Å³/atom
&SYSTEM
  ibrav = 0, nat = 12, ntyp = 3
/
ATOMIC_SPECIES
Sc 44.96 Sc.upf
Sn 118.71 Sn.upf
Rh 102.91 Rh.upf
CELL_PARAMETERS angstrom
4.571 0.000 0.000
-2.285 3.958 0.000
0.000 0.000 11.282
ATOMIC_POSITIONS crystal
Sc 0.333 0.667 0.166
Sc 0.667 0.333 0.834
Sn 0.000 0.000 0.000
Sn 0.000 0.000 0.500
Sn 0.333 0.667 0.674
Sn 0.667 0.333 0.326
Rh 0.000 0.000 0.250
Rh 0.000 0.000 0.750
Rh 0.333 0.667 0.416
Rh 0.333 0.667 0.920
Rh 0.667 0.333 0.080
Rh 0.667 0.333 0.584